A relaxed Sm6Er5Tm2 crystal. Source: Alexandria via LeMat-Bulk, functional PBE.

```
data_Sm6Er5Tm2
_chemical_formula_sum 'Sm12 Er10 Tm4'
_cell_length_a 11.5937
_cell_length_b 20.3367
_cell_length_c 3.5861
_cell_angle_alpha 90.00
_cell_angle_beta 90.00
_cell_angle_gamma 90.00
_symmetry_space_group_name_H-M 'P b a m'
_symmetry_Int_Tables_number 55
loop_
_symmetry_equiv_pos_as_xyz
'x,y,z'
'-x,-y,-z'
'-x,-y,z'
'x,y,-z'
'x+1/2,-y+1/2,-z'
'-x+1/2,y+1/2,z'
'-x+1/2,y+1/2,-z'
'x+1/2,-y+1/2,z'
loop_
_atom_site_label
_atom_site_fract_x
_atom_site_fract_y
_atom_site_fract_z
Sm1 0.0602 0.0806 0.0000
Sm2 0.0840 0.3676 0.0000
Sm3 0.1712 0.6360 0.5000
Er1 0.0000 0.5000 0.5000
Er2 0.0922 0.2268 0.5000
Er3 0.1977 0.9455 0.5000
Tm1 0.1655 0.7904 0.0000
```

## Properties
- N(E_F) (states/eV/f.u.) = 15.19
- calculated formation energy (eV per atom) = 0.104
- size of the total moment (μB/atom) = 0.00
- total energy (eV per atom) = -4.52